No. 1
Below is an optimized crystal structure of PmPrAlHg, with properties calculated at the PBE level.

Computed properties:
V, Å³/atom: 26.961
DFT formation energy, eV/atom: -0.419
Magnetization, μB per formula unit: 0.00
Offset from the most stable computed form, eV/atom: 0.000
Fermi-level density of states, states/eV per atom: 0.572

```
data_PmPrAlHg
_chemical_formula_sum 'Pm1 Pr1 Al1 Hg1'
_symmetry_space_group_name_H-M 'P 4 m m'
_symmetry_Int_Tables_number 99
_symmetry_space_group_name_Hall 'P 4 -2'
_cell_length_a 3.623
_cell_length_b 3.623
_cell_length_c 8.214
_cell_angle_alpha 90.00
_cell_angle_beta 90.00
_cell_angle_gamma 90.00
loop_
_atom_site_label
_atom_site_type_symbol
_atom_site_fract_x
_atom_site_fract_y
_atom_site_fract_z
Pm1 Pm 0.000 0.000 0.000
Pr1 Pr 0.000 0.000 0.521
Al1 Al 0.500 0.500 0.764
Hg1 Hg 0.500 0.500 0.252
```


No. 2
Below is an optimized crystal structure of Y2AlCd2, with properties calculated at the PBE level.

Computed properties:
V, Å³/atom: 27.157
DFT formation energy, eV/atom: -0.021
Magnetization, μB per formula unit: 0.00
Offset from the most stable computed form, eV/atom: 0.292
Fermi-level density of states, states/eV per atom: 0.642

```
data_Y2AlCd2
_chemical_formula_sum 'Y4 Al2 Cd4'
_symmetry_space_group_name_H-M 'P 4/m b m'
_symmetry_Int_Tables_number 127
_symmetry_space_group_name_Hall '-P 4 2ab'
_cell_length_a 8.270
_cell_length_b 8.270
_cell_length_c 3.970
_cell_angle_alpha 90.00
_cell_angle_beta 90.00
_cell_angle_gamma 90.00
loop_
_atom_site_label
_atom_site_type_symbol
_atom_site_fract_x
_atom_site_fract_y
_atom_site_fract_z
Y1 Y 0.160 0.340 0.000
Al1 Al 0.000 0.000 0.000
Cd1 Cd 0.139 0.639 0.500
```


No. 3
Below is an optimized crystal structure of LaIO2F, with properties calculated at the PBE level.

Computed properties:
V, Å³/atom: 21.412
Formation energy without anion corrections, eV/f.u.: -8.20
Magnetization, μB per formula unit: 3.03
Fermi-level density of states, states/eV per atom: 0.447

```
data_LaIO2F
_chemical_formula_sum 'La1 I1 O2 F1'
_symmetry_space_group_name_H-M 'P 4/m m m'
_symmetry_Int_Tables_number 123
_symmetry_space_group_name_Hall '-P 4 2'
_cell_length_a 4.807
_cell_length_b 4.807
_cell_length_c 4.634
_cell_angle_alpha 90.00
_cell_angle_beta 90.00
_cell_angle_gamma 90.00
loop_
_atom_site_label
_atom_site_type_symbol
_atom_site_fract_x
_atom_site_fract_y
_atom_site_fract_z
La1 La 0.000 0.000 0.000
I1 I 0.500 0.500 0.500
O1 O 0.000 0.500 0.000
F1 F 0.000 0.000 0.500
```


No. 4
Below is an optimized crystal structure of Tb3YTl2, with properties calculated at the PBE level.

Computed properties:
V, Å³/atom: 29.185
DFT formation energy, eV/atom: -0.280
Magnetization, μB per formula unit: 0.00
Offset from the most stable computed form, eV/atom: 0.000
Fermi-level density of states, states/eV per atom: 1.087

```
data_Tb3YTl2
_chemical_formula_sum 'Tb6 Y2 Tl4'
_symmetry_space_group_name_H-M 'P m c 21'
_symmetry_Int_Tables_number 26
_symmetry_space_group_name_Hall 'P 2c -2'
_cell_length_a 5.117
_cell_length_b 9.998
_cell_length_c 6.846
_cell_angle_alpha 90.00
_cell_angle_beta 90.00
_cell_angle_gamma 90.00
loop_
_atom_site_label
_atom_site_type_symbol
_atom_site_fract_x
_atom_site_fract_y
_atom_site_fract_z
Tb1 Tb 0.000 0.043 0.000
Tb2 Tb 0.000 0.314 0.374
Tb3 Tb 0.500 0.187 0.720
Y1 Y 0.500 0.457 0.093
Tl1 Tl 0.000 0.366 0.838
Tl2 Tl 0.500 0.134 0.255
```